The following is a GGA-PBE calculation of a relaxed structure of Ce12Tl3In, from Alexandria.

a b c (Å): 4.8232 4.8232 19.2510
angles (deg): 90.00 90.00 90.00
Atoms (fractional coordinates):
Ce 0.0000 0.5000 0.3747
Ce 0.0000 0.5000 0.8760
Ce 0.0000 0.5000 0.6253
Ce 0.5000 0.5000 0.7511
Ce 0.5000 0.5000 0.5000
Ce 0.5000 0.5000 0.0000
Ce 0.5000 0.0000 0.3747
Ce 0.5000 0.0000 0.6253
Ce 0.0000 0.5000 0.1240
Ce 0.5000 0.0000 0.1240
Ce 0.5000 0.0000 0.8760
Ce 0.5000 0.5000 0.2489
In 0.0000 0.0000 0.0000
Tl 0.0000 0.0000 0.5000
Tl 0.0000 0.0000 0.7504
Tl 0.0000 0.0000 0.2496

Calculated density ... 8.93 g cm⁻³
D(E_F) ... 49.62 states/eV/cell
ΔH_f (0 K) ... -0.139 eV/atom
Volume ... 447.84 Å³/f.u.